1.
Density functional theory data (PBE-GGA) for ZrCrTe3 after structural relaxation.

Structure (extended XYZ):
```
5
Lattice="5.5744 0.0000 0.0000 0.0000 5.5744 0.0000 0.0000 0.0000 5.5744" Properties=species:S:1:pos:R:3 pbc="T T T"
Te 0.0000 2.7872 0.0000
Te 0.0000 0.0000 2.7872
Te 2.7872 0.0000 0.0000
Cr 2.7872 2.7872 2.7872
Zr 0.0000 0.0000 0.0000
```

Formation energy from raw total energies ... 0.238 eV per atom
Energy relative to the lowest polymorph listed for this composition ... 3.533 eV per formula unit

2.
Density functional theory data (PBE-GGA) for Rb3In2Sb4 after structural relaxation.

Structure (extended XYZ):
```
9
Lattice="-2.1944 -4.1623 -1.5035 3.7435 -1.4668 6.7117 -8.7970 3.6909 2.6215" Properties=species:S:1:pos:R:3 pbc="T T T"
Sb -6.8965 1.4790 5.9712
Sb -0.3513 -3.4172 1.8586
Sb -2.8437 0.6065 2.4715
Sb -4.4042 -2.5447 5.3583
In -4.2548 0.3990 5.1056
In -2.9931 -2.3372 2.7243
Rb -0.6778 -1.6986 5.6919
Rb 0.0000 0.0000 0.0000
Rb -6.5700 -0.2396 2.1380
```

Formation energy from raw total energies ... -0.326 eV per atom
Energy relative to the lowest polymorph listed for this composition ... 0.051 eV per formula unit